First-principles (GGA-PBE) data for a geometry-optimized Y2Tm3Sc4 structure, as listed in Alexandria via LeMat-Bulk.

Cell lengths 15.7343, 10.9871, 5.8554 Å; angles 90.00, 95.45, 90.00 degrees
With the nearest neighbours (Å) after each atom.
Space group C2/c (No. 15)
Unique sites:
Y (0.1287, 0.1444, 0.3182) (multiplicity 8)  5 Sc 3.19-3.52, 4 Tm 3.32-3.42
Tm (0.0000, 0.1002, 0.7500) (multiplicity 4)  4 Sc 3.29-3.48, 4 Y 3.37-3.42, 2 Tm 3.66
Tm (0.1625, 0.4081, 0.6203) (multiplicity 8)  7 Sc 3.19-3.54, 2 Y 3.32-3.41, 2 Tm 3.56
Sc (0.0401, 0.3597, 0.0177) (multiplicity 8)  3 Sc 3.11-3.33, 1 Y 3.19, 4 Tm 3.20-3.29
Sc (0.2194, 0.1447, 0.8446) (multiplicity 8)  1 Sc 3.04, 2 Tm 3.19-3.27, 2 Y 3.24-3.27

Values from the calculation:
Volume ... 27.99 Å³ per atom
DOS at the Fermi energy ... 1.5143 states/eV/atom
Raw total energy ... -202.65 eV for the cell shown

First-principles (GGA-PBE) data for a geometry-optimized Y6Tm3Sc structure, as listed in Alexandria via LeMat-Bulk.

Cell lengths 9.7003, 9.7003, 11.6930 Å; angles 90.00, 90.00, 120.00 degrees
With the nearest neighbours (Å) after each atom.
Space group R3 (No. 146, hexagonal axes)
Unique sites:
Y (0.9999, 0.3410, 0.0000) (multiplicity 9)  1 Sc 3.27, 3 Tm 3.32-3.65
Y (0.0129, 0.6690, 0.8338) (multiplicity 9)  3 Tm 3.31-3.55, 1 Sc 3.36, 1 Y 3.68
Tm (0.0000, 0.0000, 0.0228) (multiplicity 3)  1 Tm 2.88, 1 Sc 2.93
Tm (0.0000, 0.0000, 0.5150) (multiplicity 3)  1 Sc 2.82, 1 Tm 3.05
Tm (0.0000, 0.0000, 0.7763) (multiplicity 3)  2 Tm 2.88-3.05
Sc (0.0000, 0.0000, 0.2737) (multiplicity 3)  2 Tm 2.82-2.93

Values from the calculation:
Relative energy among the computed polymorphs ... 0.078 eV per atom
Volume ... 31.76 Å³ per atom
DOS at the Fermi energy ... 1.8972 states/eV/atom

First-principles (GGA-PBE) data for a geometry-optimized YTmSc6 structure, as listed in Alexandria via LeMat-Bulk.

Cell lengths 5.2854, 6.7715, 11.7264 Å; angles 90.00, 90.00, 90.00 degrees
With the nearest neighbours (Å) after each atom.
Space group Amm2 (No. 38)
Unique sites:
Y (0.0000, 0.0000, 0.0000) (multiplicity 2)  12 Sc 3.31-3.39
Tm (0.5000, 0.0000, 0.6673) (multiplicity 2)  12 Sc 3.31-3.39
Sc (0.0000, 0.0000, 0.4974) (multiplicity 2)  8 Sc 3.26-3.45, 2 Tm 3.31, 2 Y 3.39
Sc (0.0000, 0.2449, 0.2518) (multiplicity 4)  8 Sc 3.26-3.46, 2 Tm 3.31, 2 Y 3.38-3.39
Sc (0.5000, 0.0000, 0.1705) (multiplicity 2)  8 Sc 3.26-3.46, 2 Y 3.31, 2 Tm 3.39
Sc (0.5000, 0.2440, 0.4152) (multiplicity 4)  8 Sc 3.26-3.47, 2 Y 3.31, 2 Tm 3.38-3.39

Values from the calculation:
Relative energy among the computed polymorphs ... 0.000 eV per atom
Volume ... 26.23 Å³ per atom
DOS at the Fermi energy ... 1.9231 states/eV/atom

First-principles (GGA-PBE) data for a geometry-optimized YTmSc structure, as listed in Alexandria via LeMat-Bulk.

Cell lengths 3.3562, 3.3856, 15.6017 Å; angles 90.00, 90.00, 90.00 degrees
With the nearest neighbours (Å) after each atom.
Space group Pmmn (No. 59, origin choice 2)
Unique sites:
Y (0.2500, 0.2500, 0.0826) (multiplicity 2)  8 Y 3.36-3.51, 2 Tm 3.48
Tm (0.2500, 0.7500, 0.2774) (multiplicity 2)  4 Sc 3.34, 4 Tm 3.36-3.39, 2 Y 3.48
Sc (0.2500, 0.7500, 0.5724) (multiplicity 2)  8 Sc 3.28-3.39, 4 Tm 3.34

Values from the calculation:
Relative energy among the computed polymorphs ... 0.125 eV per atom
Volume ... 29.55 Å³ per atom
DOS at the Fermi energy ... 1.8150 states/eV/atom

First-principles (GGA-PBE) data for a geometry-optimized Y2Tm5Sc4 structure, as listed in Alexandria via LeMat-Bulk.

Cell lengths 8.3926, 3.4443, 11.1181 Å; angles 90.00, 97.44, 90.00 degrees
With the nearest neighbours (Å) after each atom.
Space group P2/m (No. 10)
Unique sites:
Y (0.0601, 0.0000, 0.1382) (multiplicity 2)  3 Y 3.11-3.44, 6 Sc 3.25-3.47, 2 Tm 3.27
Tm (0.1559, 0.0000, 0.6374) (multiplicity 2)  1 Y 3.27, 4 Sc 3.37-3.40, 4 Tm 3.44-3.56
Tm (0.4517, 0.0000, 0.1965) (multiplicity 2)  1 Y 3.27, 4 Tm 3.35-3.56, 6 Sc 3.37-3.60
Tm (0.5000, 0.0000, 0.5000) (multiplicity 1)  4 Sc 3.25, 6 Tm 3.35-3.44
Sc (0.1920, 0.5000, 0.3787) (multiplicity 2)  8 Tm 3.25-3.60, 2 Y 3.25, 2 Sc 3.44
Sc (0.2844, 0.5000, 0.9477) (multiplicity 2)  4 Tm 3.37-3.40, 4 Y 3.39-3.47, 3 Sc 3.44-3.65

Values from the calculation:
Relative energy among the computed polymorphs ... 0.000 eV per atom
Volume ... 28.97 Å³ per atom
DOS at the Fermi energy ... 1.7051 states/eV/atom

First-principles (GGA-PBE) data for a geometry-optimized YTm2Sc7 structure, as listed in Alexandria via LeMat-Bulk.

Cell lengths 7.4325, 17.1334, 4.9799 Å; angles 90.00, 90.00, 90.00 degrees
With the nearest neighbours (Å) after each atom.
Space group Cmmm (No. 65)
Unique sites:
Y (0.0000, 0.0000, 0.0000) (multiplicity 2)  8 Sc 3.34
Tm (0.0000, 0.2634, 0.5000) (multiplicity 4)  6 Sc 3.20-3.51
Sc (0.0000, 0.4075, 0.0000) (multiplicity 4)  3 Sc 2.95-3.17
Sc (0.0000, 0.5000, 0.5000) (multiplicity 2)  8 Sc 2.80-2.95
Sc (0.1974, 0.0972, 0.5000) (multiplicity 8)  2 Sc 2.80-2.93

Values from the calculation:
Volume ... 31.71 Å³ per atom
DOS at the Fermi energy ... 1.3533 states/eV/atom
Raw total energy ... -107.15 eV for the cell shown

First-principles (GGA-PBE) data for a geometry-optimized YTm7Sc4 structure, as listed in Alexandria via LeMat-Bulk.

Cell lengths 15.3835, 5.6660, 9.3425 Å; angles 90.00, 121.13, 90.00 degrees
With the nearest neighbours (Å) after each atom.
Space group C2/m (No. 12)
Unique sites:
Y (0.0000, 0.0000, 0.0000) (multiplicity 2)  2 Tm 2.83
Tm (0.0000, 0.5000, 0.0000) (multiplicity 2)  2 Y 2.83, 2 Sc 2.92
Tm (0.0875, 0.0000, 0.4438) (multiplicity 4)  5 Sc 3.20-3.42, 3 Tm 3.36-3.51
Tm (0.2075, 0.0000, 0.8812) (multiplicity 4)  6 Tm 3.42-3.51, 4 Sc 3.49-3.72
Tm (0.2466, 0.0000, 0.2817) (multiplicity 4)  4 Sc 3.03-3.24, 1 Y 3.32
Sc (0.0522, 0.5000, 0.7040) (multiplicity 4)  4 Tm 3.03-3.39, 2 Sc 3.20-3.28
Sc (0.1698, 0.5000, 0.3449) (multiplicity 4)  5 Tm 2.92-3.24, 1 Sc 3.20

Values from the calculation:
Relative energy among the computed polymorphs ... 0.238 eV per atom
Volume ... 29.04 Å³ per atom
DOS at the Fermi energy ... 1.6701 states/eV/atom

First-principles (GGA-PBE) data for a geometry-optimized Y2TmSc structure, as listed in Alexandria via LeMat-Bulk.

Cell lengths 4.9275, 4.9275, 4.8911 Å; angles 90.00, 90.00, 90.00 degrees
With the nearest neighbours (Å) after each atom.
Space group P4/mmm (No. 123)
Unique sites:
Y (0.0000, 0.5000, 0.0000) (multiplicity 2)  4 Tm 3.47, 4 Sc 3.47, 4 Y 3.48
Tm (0.0000, 0.0000, 0.5000) (multiplicity 1)  8 Y 3.47, 4 Sc 3.48
Sc (0.5000, 0.5000, 0.5000) (multiplicity 1)  8 Y 3.47, 4 Tm 3.48

Values from the calculation:
Relative energy among the computed polymorphs ... 0.030 eV per atom
Volume ... 29.69 Å³ per atom
DOS at the Fermi energy ... 1.6816 states/eV/atom

The highest DOS at the Fermi energy belongs to which entry? YTmSc6